The following is a PBE+U calculation of a relaxed structure of Ca2Ta2WO8, from Alexandria.

Output
- DOS(E_F): 1.3 states/eV per cell
- M_tot: 7.97 Bohr magnetons per cell
- E: -433.48 eV/cell

```
data_Ca2Ta2WO8
_chemical_formula_sum 'Ca8 Ta8 W4 O32'
_cell_length_a 19.207
_cell_length_b 6.335
_cell_length_c 5.540
_cell_angle_alpha 90.00
_cell_angle_beta 93.39
_cell_angle_gamma 90.00
_space_group_name_H-M_alt 'C 1 2 1'
_space_group_IT_number 5
_space_group_name_Hall 'C 2y'
loop_
_atom_site_label
_atom_site_fract_x
_atom_site_fract_y
_atom_site_fract_z
Ca1 0.203 0.000 0.488
Ca2 0.212 0.652 0.983
Ta1 0.112 0.191 0.007
Ta2 0.115 0.462 0.483
W1 0.000 0.677 0.000
W2 0.000 0.957 0.500
O1 0.055 0.958 0.856
O2 0.057 0.693 0.351
O3 0.065 0.440 0.817
O4 0.077 0.163 0.357
O5 0.176 0.265 0.738
O6 0.183 0.381 0.231
O7 0.185 0.980 0.085
O8 0.188 0.663 0.580
```